[1]
The following is a DFT calculation (PBE-GGA) of a geometry-optimized KLiSc2Os structure.

It has space group P4/mmm (No. 123), with a = 5.0067 Å, b = 5.0067 Å, c = 6.3332 Å, α = 90.00°, β = 90.00° and γ = 90.00°. Symmetry generates all atoms from K at (0.0000, 0.0000, 0.0000), Li at (0.5000, 0.5000, 0.0000), Sc at (0.0000, 0.5000, 0.5000) and Os at (0.0000, 0.0000, 0.5000).

Its total moment is 0.00 μB/cell. For the formation energy, the calculation gives 0.4488 eV/atom.



[2]
The following is a DFT calculation (PBE-GGA) of a geometry-optimized K2LiTaOs structure.

It has space group P4/mmm (No. 123), with a = 6.5329 Å, b = 6.5329 Å, c = 5.3504 Å, α = 90.00°, β = 90.00° and γ = 90.00°. Symmetry generates all atoms from K at (0.0000, 0.5000, 0.0000), Li at (0.0000, 0.0000, 0.5000), Ta at (0.0000, 0.0000, 0.0000) and Os at (0.5000, 0.5000, 0.5000).

Its total moment is 8.00 μB/cell. For the formation energy, the calculation gives 2.6106 eV/atom.



[3]
The following is a DFT calculation (PBE-GGA) of a geometry-optimized K2LiOsW structure.

It has space group P4/mmm (No. 123), with a = 4.1533 Å, b = 4.1533 Å, c = 5.5113 Å, α = 90.00°, β = 90.00° and γ = 90.00°. Symmetry generates all atoms from K at (0.0000, 0.5000, 0.0000), Li at (0.0000, 0.0000, 0.0000), Os at (0.5000, 0.5000, 0.5000) and W at (0.0000, 0.0000, 0.5000).

Its total moment is 0.00 μB/cell. For the formation energy, the calculation gives 2.0659 eV/atom.